VASP calculation (PBE-GGA) on a relaxed TlMoIr3 crystal.

The structure in extended XYZ format:
```
5
Lattice="4.786 0.000 0.000 0.000 4.786 0.000 0.000 0.000 4.786" Properties=species:S:1:pos:R:3 pbc="T T T"
Tl 2.393 2.393 2.393
Mo 0.000 0.000 0.000
Ir 0.000 0.000 2.393
Ir 2.393 0.000 0.000
Ir 0.000 2.393 0.000
```

SG: No. 221
Magnetization, μB/f.u.: 0.00
Excess energy over the best structure of this formula in the dataset, meV per atom: 0
Energy relative to the elements, eV/f.u.: 7.211



VASP calculation (PBE-GGA) on a relaxed Tl3MoIr crystal.

The structure in extended XYZ format:
```
5
Lattice="-4.331 -2.872 0.955 2.416 -4.285 -1.929 1.823 -1.144 4.825" Properties=species:S:1:pos:R:3 pbc="T T T"
Tl 1.208 -2.142 -0.964
Tl 0.911 -0.572 2.413
Tl -2.166 -1.436 0.478
Mo -0.046 -4.151 1.926
Ir 0.000 0.000 0.000
```

SG: No. 221
Magnetization, μB/f.u.: 5.14
Excess energy over the best structure of this formula in the dataset, meV per atom: 0
Energy relative to the elements, eV/f.u.: 5.223



VASP calculation (PBE-GGA) on a relaxed Tl2MoIr crystal.

The structure in extended XYZ format:
```
4
Lattice="4.662 0.000 0.000 0.000 3.021 -0.002 0.000 0.191 5.485" Properties=species:S:1:pos:R:3 pbc="T T T"
Tl 0.000 0.111 0.009
Tl 0.000 1.495 2.733
Ir 2.331 0.803 1.371
Mo 2.331 2.409 4.112
```

SG: No. 10
Magnetization, μB/f.u.: 0.30
Excess energy over the best structure of this formula in the dataset, meV per atom: 468
Energy relative to the elements, eV/f.u.: 3.033



VASP calculation (PBE-GGA) on a relaxed Tl2MoIr crystal.

The structure in extended XYZ format:
```
4
Lattice="-2.545 1.699 0.096 0.129 -2.572 1.655 3.529 4.875 7.301" Properties=species:S:1:pos:R:3 pbc="T T T"
Ir -0.326 0.782 2.701
Mo 1.438 3.220 6.352
Tl 1.745 2.411 3.610
Tl 0.020 0.027 0.040
```

SG: No. 65
Magnetization, μB/f.u.: 0.00
Excess energy over the best structure of this formula in the dataset, meV per atom: 506
Energy relative to the elements, eV/f.u.: 3.182



VASP calculation (PBE-GGA) on a relaxed TlMo2Ir crystal.

The structure in extended XYZ format:
```
4
Lattice="4.989 0.011 0.000 1.669 4.701 0.000 -3.329 -2.356 2.873" Properties=species:S:1:pos:R:3 pbc="T T T"
Mo 0.834 2.351 1.437
Mo 0.000 0.000 0.000
Ir 2.494 0.005 1.437
Tl 3.329 2.356 0.000
```

SG: No. 119
Magnetization, μB/f.u.: 0.00
Excess energy over the best structure of this formula in the dataset, meV per atom: 140
Energy relative to the elements, eV/f.u.: 1.836



VASP calculation (PBE-GGA) on a relaxed TlMo2Ir crystal.

The structure in extended XYZ format:
```
4
Lattice="-1.299 2.336 0.945 -1.604 -1.586 1.717 5.792 0.752 6.102" Properties=species:S:1:pos:R:3 pbc="T T T"
Ir 2.893 0.939 5.908
Mo 3.033 0.394 3.195
Mo 5.655 0.734 5.958
Tl -0.003 0.563 2.857
```

SG: No. 123
Magnetization, μB/f.u.: 0.00
Excess energy over the best structure of this formula in the dataset, meV per atom: 0
Energy relative to the elements, eV/f.u.: 1.276



| no. | volume (Å³ per cell) |
| --- | --- |
| 1 | 109.6 |
| 2 | 147.5 |
| 3 | 77.2 |
| 4 | 77.6 |
| 5 | 67.3 |
| 6 | 67.9 |